Compound: YHgRu2
Source: Alexandria via LeMat-Bulk
Functional: PBE
Structure: optimized geometry

a b c (Å): 4.150 4.150 8.574
angles (deg): 90.00 90.00 90.00
Space group I-4m2 (No. 119)
One atom of each set of equivalent atoms:
1 Y 0.000 0.000 0.000 [2 per cell]
2 Hg 0.000 0.500 0.750 [2 per cell]
3 Ru 0.000 0.000 0.500 [2 per cell]
4 Ru 0.000 0.500 0.250 [2 per cell]

Output
Total energy in hartree per atom: -0.2266
DOS at the Fermi energy in states/eV/cell: 11.36